Below is an optimized crystal structure of PtRh2Au, with properties calculated at the PBE level.

```
data_PtRh2Au
_symmetry_space_group_name_H-M 'P 1 2/m 1'
_symmetry_Int_Tables_number 10
_symmetry_space_group_name_Hall '-P 2y'
_cell_length_a 4.8206
_cell_length_b 2.8043
_cell_length_c 4.8569
_cell_angle_alpha 90.00
_cell_angle_beta 109.42
_cell_angle_gamma 90.00
loop_
_atom_site_label
_atom_site_type_symbol
_atom_site_fract_x
_atom_site_fract_y
_atom_site_fract_z
_atom_site_occupancy
Pt1 Pt 0.0000 0.0000 0.0000 1
Rh1 Rh 0.5000 0.0000 0.5000 1
Rh2 Rh 0.5000 0.5000 0.0000 1
Au1 Au 0.0000 0.5000 0.5000 1
```



Below is an optimized crystal structure of La7Pm3, with properties calculated at the PBE level.

```
data_La7Pm3
_symmetry_space_group_name_H-M 'C 1 2/m 1'
_symmetry_Int_Tables_number 12
_symmetry_space_group_name_Hall '-C 2y'
_cell_length_a 18.9258
_cell_length_b 5.2488
_cell_length_c 7.3958
_cell_angle_alpha 90.00
_cell_angle_beta 101.50
_cell_angle_gamma 90.00
loop_
_atom_site_label
_atom_site_type_symbol
_atom_site_fract_x
_atom_site_fract_y
_atom_site_fract_z
_atom_site_occupancy
La1 La 0.0000 0.0000 0.0000 1
La2 La 0.0996 0.5000 0.2998 1
La3 La 0.1009 0.5000 0.8017 1
La4 La 0.2000 0.0000 0.5998 1
Pm1 Pm 0.0000 0.0000 0.5000 1
Pm2 Pm 0.2006 0.0000 0.1010 1
```



Below is an optimized crystal structure of Sr6Bi2AsP, with properties calculated at the PBE level.

```
data_Sr6Bi2AsP
_symmetry_space_group_name_H-M 'P 1 21/c 1'
_symmetry_Int_Tables_number 14
_symmetry_space_group_name_Hall '-P 2ybc'
_cell_length_a 7.9780
_cell_length_b 8.4466
_cell_length_c 13.9316
_cell_angle_alpha 90.00
_cell_angle_beta 124.87
_cell_angle_gamma 90.00
loop_
_atom_site_label
_atom_site_type_symbol
_atom_site_fract_x
_atom_site_fract_y
_atom_site_fract_z
_atom_site_occupancy
Sr1 Sr 0.1353 0.0459 0.2473 1
Sr2 Sr 0.2456 0.6978 0.0570 1
Sr3 Sr 0.3619 0.1924 0.0562 1
Bi1 Bi 0.2720 0.0709 0.7503 1
As1 As 0.5000 0.0000 0.5000 1
P1 P 0.0000 0.0000 0.0000 1
```



Taking the records one at a time from the top gives formation enthalpy at 0 K values of 0.1348; 0.0104; -1.0199 eV/atom.